Record 1
Below is a geometry-optimized Zr2Sc2Ru structure, with properties calculated at the GGA-PBE level.

a b c (Å): 3.2094 6.2660 6.2660
angles (deg): 68.28 75.16 75.16
Sites, in units of the cell vectors:
Ru (0.0000, 0.0000, 0.0000)
Sc (0.2585, 0.2415, 0.2415)
Sc (0.7415, 0.7585, 0.7585)
Zr (0.5000, 0.3012, 0.6988)
Zr (0.5000, 0.6988, 0.3012)

The value obtained for the density is 5.6 Mg/m³. Its energy above the most stable polymorph in this dataset is 0.000 eV/atom. For the total magnetization, the calculation gives 0.000 μB/atom. The formation energy is -0.17 eV per atom.



Record 2
Below is a geometry-optimized La3Si4Ni4 structure, with properties calculated at the GGA-PBE level.

a b c (Å): 4.1268 4.1856 12.1943
angles (deg): 80.09 80.25 89.98
Sites, in units of the cell vectors:
Si (0.5519, 0.5514, 0.8968)
Si (0.7984, 0.2988, 0.4026)
Si (0.2016, 0.7012, 0.5974)
Si (0.4481, 0.4486, 0.1032)
Ni (0.1003, 0.5998, 0.8003)
Ni (0.8997, 0.4002, 0.1997)
Ni (0.2484, 0.2489, 0.5027)
Ni (0.7516, 0.7511, 0.4973)
La (0.6498, 0.1496, 0.7005)
La (0.0000, 0.0000, 0.0000)
La (0.3502, 0.8504, 0.2995)

The value obtained for the density is 6.2 Mg/m³. For the total magnetization, the calculation gives 0.000 μB/atom. Its energy relative to the elements, uncorrected is -758.5 meV/atom.



Record 3
Below is a geometry-optimized NiIr2Os structure, with properties calculated at the GGA-PBE level.

a b c (Å): 3.7814 2.7117 5.9876
angles (deg): 63.13 90.00 90.00
Sites, in units of the cell vectors:
Os (0.5000, 0.7542, 0.7445)
Ir (0.5000, 0.2381, 0.2631)
Ir (0.0000, 0.0098, 0.9900)
Ni (0.0000, 0.4979, 0.5024)

The value obtained for the density is 19.2 Mg/m³. Its energy above the most stable polymorph in this dataset is 0.051 eV/atom. For the total magnetization, the calculation gives 0.000 μB/atom. The formation energy is 0.06 eV per atom.



Record 4
Below is a geometry-optimized Rb3SeO structure, with properties calculated at the GGA-PBE level.

a b c (Å): 6.4993 6.4993 6.4993
angles (deg): 90.00 90.00 90.00
Sites, in units of the cell vectors:
O (0.5000, 0.5000, 0.5000)
Rb (0.5000, 0.0000, 0.0000)
Rb (0.0000, 0.0000, 0.5000)
Rb (0.0000, 0.5000, 0.0000)
Se (0.0000, 0.0000, 0.0000)

The value obtained for the density is 2.1 Mg/m³. For the total magnetization, the calculation gives 0.000 μB/atom. Its energy relative to the elements, uncorrected is -398.8 meV/atom.